# 1
# FeGeAs2Br

A PBEsol-optimized structure of FeGeAs2Br (SCAN, the Alexandria database).

abc: 4.412 4.412 5.184
angles: 90.00 90.00 90.00
Space group P4/mmm (No. 123)
Inequivalent atoms, fractional coordinates:
Fe 0.000 0.000 0.000 [1 per cell]
Ge 0.500 0.500 0.500 [1 per cell]
As 0.000 0.500 0.000 [2 per cell]
Br 0.000 0.000 0.500 [1 per cell]

Computed properties:
The calculation puts the raw formation energy at 2.68 eV/f.u. Its total magnetization is 0.43 μB/atom. As for the energy above the most stable polymorph in this dataset: 0 meV per atom.

=====

# 2
# YNi2W

A PBEsol-optimized structure of YNi2W (SCAN, the Alexandria database).

abc: 3.101 4.132 4.956
angles: 90.00 101.90 90.00
Space group Pm (No. 6)
Inequivalent atoms, fractional coordinates:
Y 0.000 0.000 0.000 [1 per cell]
Ni 0.570 0.500 0.165 [1 per cell]
Ni 0.619 0.000 0.477 [1 per cell]
W 0.262 0.500 0.578 [1 per cell]

Computed properties:
The calculated formation energy is 0.399 eV/f.u. Its total magnetization is 0.00 μB/atom.

=====

# 3
# NaTcRu3

A PBEsol-optimized structure of NaTcRu3 (SCAN, the Alexandria database).

abc: 4.257 4.257 4.257
angles: 90.00 90.00 90.00
Space group Pm-3m (No. 221)
Inequivalent atoms, fractional coordinates:
Na 0.000 0.000 0.000 [1 per cell]
Tc 0.500 0.500 0.500 [1 per cell]
Ru 0.000 0.000 0.500 [3 per cell]

Computed properties:
The calculated formation energy is 12.653 eV/f.u. Its total magnetization is 0.14 μB/atom.